Material: LaCd2Si2
Method: DFT, PBEsol
State: optimized geometry

Uncorrected energy, eV/cell: -42.10
Mass density, g/cm³: 6.63
E_form (uncorrected), eV per atom: -0.363
Total magnetic moment, μB/f.u.: 0.0
Volume, Å³ per atom: 21.03

Cell: 4.2466 4.2466 11.6615 Å, 90.00 90.00 90.00°
Closest atoms and distances in Å follow each position.
Space group I4/mmm (No. 139)
Unique sites:
La1 0.0000 0.0000 0.0000 (multiplicity 2)  8 Si 3.23, 8 Cd 3.61
Cd1 0.0000 0.5000 0.2500 (multiplicity 4)  4 Si 2.74, 4 Cd 3.00
Si1 0.0000 0.0000 0.3990 (multiplicity 4)  1 Si 2.36

---

Material: NaBiAs3
Method: DFT, PBEsol
State: optimized geometry

Uncorrected energy, eV/cell: -16.32
Mass density, g/cm³: 6.24
Calculated formation energy, eV/atom: 0.94
Total magnetic moment, μB/f.u.: 0.0
Volume, Å³ per atom: 24.31

Cell: 4.9533 4.9533 4.9533 Å, 90.00 90.00 90.00°
Closest atoms and distances in Å follow each position.
Space group Pm-3m (No. 221)
Unique sites:
Na1 0.0000 0.0000 0.0000 (multiplicity 1)  6 As 2.48
Bi1 0.5000 0.5000 0.5000 (multiplicity 1)  12 As 3.50
As1 0.0000 0.0000 0.5000 (multiplicity 3)  2 Na 2.48

---

Material: TmAl7Au3
Method: DFT, PBEsol
State: optimized geometry

Uncorrected energy, eV/cell: -307.27
Mass density, g/cm³: 8.20
Calculated formation energy, eV/atom: -0.54
Total magnetic moment, μB/f.u.: 0.0
Volume, Å³ per atom: 17.46

Cell: 7.9816 7.9816 20.8910 Å, 90.00 90.00 120.00°
Closest atoms and distances in Å follow each position.
Space group R-3c (No. 167, hexagonal axes)
Unique sites:
Tm1 0.0000 0.0000 0.0000 (multiplicity 6)  6 Au 3.21, 12 Al 3.28-3.32
Al1 0.0000 0.0000 0.2500 (multiplicity 6)  3 Au 2.60, 6 Al 2.87
Al2 0.0104 0.2078 0.1368 (multiplicity 36)  3 Au 2.56-2.64, 5 Al 2.80-2.87
Au1 0.0000 0.3253 0.2500 (multiplicity 18)  7 Al 2.56-2.64

---

Material: PRuRh
Method: DFT, PBEsol
State: optimized geometry

Uncorrected energy, eV/cell: -103.09
Mass density, g/cm³: 9.48
Calculated formation energy, eV/atom: -0.56
Total magnetic moment, μB/f.u.: 0.0
Volume, Å³ per atom: 13.72

Cell: 5.4804 5.4804 5.4804 Å, 90.00 90.00 90.00°
Closest atoms and distances in Å follow each position.
Space group F-43m (No. 216)
Unique sites:
P1 0.0000 0.0000 0.0000 (multiplicity 4)  4 Rh 2.37, 4 Ru 2.37
Ru1 0.2500 0.2500 0.2500 (multiplicity 4)  4 P 2.37
Rh1 0.2500 0.2500 0.7500 (multiplicity 4)  4 P 2.37

---

Material: CuOs2Ru
Method: DFT, PBEsol
State: optimized geometry

Uncorrected energy, eV/cell: -75.47
Mass density, g/cm³: 16.94
Calculated formation energy, eV/atom: 0.30
Total magnetic moment, μB/f.u.: 0.0
Volume, Å³ per atom: 13.35

Cell: 8.8669 2.6766 4.5669 Å, 90.00 99.71 90.00°
Closest atoms and distances in Å follow each position.
Space group Cm (No. 8)
Unique sites:
Cu1 0.0000 0.0000 0.0000 (multiplicity 2)  3 Ru 2.59-2.70, 7 Os 2.63-2.72, 2 Cu 2.68
Os1 0.2449 0.0000 0.7395 (multiplicity 2)  5 Os 2.63-2.68, 4 Ru 2.64-2.66, 3 Cu 2.65-2.72
Os2 0.4986 0.0000 0.5026 (multiplicity 2)  5 Os 2.63-2.68, 4 Cu 2.63-2.66, 3 Ru 2.65-2.75
Ru1 0.2554 0.5000 0.2402 (multiplicity 2)  3 Cu 2.59-2.70, 7 Os 2.64-2.75, 2 Ru 2.68

---

Material: TlAu
Method: DFT, PBEsol
State: optimized geometry

Uncorrected energy, eV/cell: -12.88
Mass density, g/cm³: 13.92
Calculated formation energy, eV/atom: 0.06
Total magnetic moment, μB/f.u.: 0.0
Volume, Å³ per atom: 23.93

Cell: 3.7548 3.9876 6.3937 Å, 90.00 90.00 90.00°
Closest atoms and distances in Å follow each position.
Space group Pmmn (No. 59, origin choice 2)
Unique sites:
Tl1 0.2500 0.2500 0.1415 (multiplicity 2)  4 Au 3.00, 4 Tl 3.28
Au1 0.2500 0.7500 0.4929 (multiplicity 2)  4 Au 2.74, 4 Tl 3.00

---

Material: Ti2NbSi2
Method: DFT, PBEsol
State: optimized geometry

Uncorrected energy, eV/cell: -86.12
Mass density, g/cm³: 5.41
E_form (uncorrected), eV per atom: -0.820
Total magnetic moment, μB/f.u.: 0.0
Volume, Å³ per atom: 15.03

Cell: 6.6779 6.6779 3.3702 Å, 90.00 90.00 90.00°
Closest atoms and distances in Å follow each position.
Space group P4/mbm (No. 127)
Unique sites:
Ti1 0.1730 0.3270 0.0000 (multiplicity 4)  6 Si 2.54-2.63
Nb1 0.0000 0.0000 0.5000 (multiplicity 2)  4 Si 2.64
Si1 0.1260 0.6260 0.5000 (multiplicity 4)  1 Si 2.38, 6 Ti 2.54-2.63, 2 Nb 2.64

---

Material: CsScCrSe3
Method: DFT, PBEsol
State: optimized geometry

Uncorrected energy, eV/cell: -144.30
Mass density, g/cm³: 4.78
E_form (uncorrected), eV per atom: -1.123
Total magnetic moment, μB/f.u.: 4.0
Volume, Å³ per atom: 27.01

Cell: 3.9416 15.9221 10.3282 Å, 90.00 90.00 90.00°
Closest atoms and distances in Å follow each position.
Space group Cmcm (No. 63)
Unique sites:
Cs1 0.0000 0.2443 0.2500 (multiplicity 4)  8 Se 3.55-3.74, 2 Cs 3.94
Sc1 0.0000 0.5000 0.0000 (multiplicity 4)  6 Se 2.73-2.75
Cr1 0.0000 0.0326 0.7500 (multiplicity 4)  4 Se 2.43-2.45
Se1 0.0000 0.1138 0.5513 (multiplicity 8)  1 Cr 2.43
Se2 0.0000 0.4411 0.7500 (multiplicity 4)  2 Cr 2.45

---

Material: TcSbP2
Method: DFT, PBEsol
State: optimized geometry

Uncorrected energy, eV/cell: -53.98
Mass density, g/cm³: 6.38
E_form (uncorrected), eV per atom: 0.104
Total magnetic moment, μB/f.u.: 0.0
Volume, Å³ per atom: 18.32

Cell: 4.3702 4.3470 7.7131 Å, 90.00 90.00 90.00°
Closest atoms and distances in Å follow each position.
Space group Amm2 (No. 38)
Unique sites:
Tc1 0.0000 0.0000 0.0000 (multiplicity 2)  4 P 2.42, 2 Sb 2.70
Sb1 0.5000 0.0000 0.7940 (multiplicity 2)  3 P 2.49-2.64, 2 Tc 2.70
P1 0.0000 0.0000 0.3631 (multiplicity 2)  2 Tc 2.42
P2 0.5000 0.0000 0.1357 (multiplicity 2)  2 Tc 2.42, 3 Sb 2.49-2.64

---

Material: BaHgSe
Method: DFT, PBEsol
State: optimized geometry

Uncorrected energy, eV/cell: -9.85
Mass density, g/cm³: 6.99
E_form (uncorrected), eV per atom: -1.095
Total magnetic moment, μB/f.u.: 0.0
Volume, Å³ per atom: 33.02

Cell: 4.7738 4.7738 5.0199 Å, 90.00 90.00 120.00°
Closest atoms and distances in Å follow each position.
Space group P3m1 (No. 156)
Unique sites:
Ba1 0.0000 0.0000 0.0000 (multiplicity 1)  3 Se 3.21, 3 Hg 3.40
Hg1 0.3333 0.6667 0.6038 (multiplicity 1)  3 Se 3.09, 3 Ba 3.40
Se1 0.6667 0.3333 0.3265 (multiplicity 1)  3 Hg 3.09, 3 Ba 3.21

---

Material: La2SeCl
Method: DFT, PBEsol
State: optimized geometry

Uncorrected energy, eV/cell: -92.82
Mass density, g/cm³: 6.91
E_form (uncorrected), eV per atom: -1.664
Total magnetic moment, μB/f.u.: 0.0
Volume, Å³ per atom: 23.56

Cell: 7.2237 7.2237 7.2237 Å, 90.00 90.00 90.00°
Closest atoms and distances in Å follow each position.
Space group Fm-3m (No. 225)
Unique sites:
La1 0.2500 0.2500 0.2500 (multiplicity 8)  4 Cl 3.13, 4 Se 3.13
Se1 0.0000 0.0000 0.0000 (multiplicity 4)  8 La 3.13
Cl1 0.0000 0.0000 0.5000 (multiplicity 4)  8 La 3.13

---

Material: Mg2Te3O8
Method: DFT, PBEsol
State: optimized geometry

Uncorrected energy, eV/cell: -309.47
Mass density, g/cm³: 4.95
E_form (uncorrected), eV per atom: -1.643
Total magnetic moment, μB/f.u.: 0.0
Volume, Å³ per atom: 14.45

Cell: 12.5710 5.2394 11.5289 Å, 90.00 98.35 90.00°
Closest atoms and distances in Å follow each position.
Space group C2/c (No. 15)
Unique sites:
Mg1 0.2327 0.1910 0.3526 (multiplicity 8)  6 O 2.02-2.25
Te1 0.0000 0.1644 0.7500 (multiplicity 4)  4 O 1.89-2.10
Te2 0.1348 0.1904 0.0541 (multiplicity 8)  3 O 1.89-1.98
O1 0.0805 0.0614 0.3564 (multiplicity 8)  1 Te 1.89, 1 Mg 2.04
O2 0.1142 0.1359 0.6351 (multiplicity 8)  2 Te 1.98-2.10, 1 Mg 2.11
O3 0.1976 0.3566 0.1932 (multiplicity 8)  1 Te 1.89, 2 Mg 2.02-2.06
O4 0.2350 0.4902 0.9731 (multiplicity 8)  1 Te 1.95, 1 Mg 2.17

---

Material: ReSiGeS2
Method: DFT, PBEsol
State: optimized geometry

Uncorrected energy, eV/cell: -29.98
Mass density, g/cm³: 5.82
E_form (uncorrected), eV per atom: 0.561
Total magnetic moment, μB/f.u.: 0.0
Volume, Å³ per atom: 20.02

Cell: 4.4786 4.4786 4.9904 Å, 90.00 90.00 90.00°
Closest atoms and distances in Å follow each position.
Space group P4/mmm (No. 123)
Unique sites:
Re1 0.0000 0.0000 0.0000 (multiplicity 1)  4 S 2.24, 2 Si 2.50
Si1 0.0000 0.0000 0.5000 (multiplicity 1)  2 Re 2.50
Ge1 0.5000 0.5000 0.5000 (multiplicity 1)  4 Si 3.17, 8 S 3.35
S1 0.0000 0.5000 0.0000 (multiplicity 2)  2 Re 2.24

---

Material: KIrW2
Method: DFT, PBEsol
State: optimized geometry

Uncorrected energy, eV/cell: -66.29
Mass density, g/cm³: 14.80
Calculated formation energy, eV/atom: 1.36
Total magnetic moment, μB/f.u.: 0.0
Volume, Å³ per atom: 16.80

Cell: 5.5139 9.5058 2.6951 Å, 90.00 107.91 90.00°
Closest atoms and distances in Å follow each position.
Space group C2/m (No. 12)
Unique sites:
K1 0.0000 0.0000 0.0000 (multiplicity 2)  2 K 2.70, 2 Ir 2.76, 4 W 2.87
Ir1 0.0000 0.5000 0.0000 (multiplicity 2)  2 Ir 2.70, 2 K 2.76, 4 W 2.87
W1 0.2500 0.2500 0.5000 (multiplicity 4)  4 W 2.70-2.76, 2 K 2.87, 2 Ir 2.87

---

Material: YNiH3SO7
Method: DFT, PBEsol
State: optimized geometry

Uncorrected energy, eV/cell: -342.75
Mass density, g/cm³: 3.88
Total magnetic moment, μB/f.u.: 2.0
Volume, Å³ per atom: 9.69

Cell: 6.8988 7.1599 10.2051 Å, 90.00 90.00 90.00°
Closest atoms and distances in Å follow each position.
Space group Pnma (No. 62)
Unique sites:
Y1 0.2369 0.2500 0.1965 (multiplicity 4)  6 O 2.26-2.45
Ni1 0.0000 0.0000 0.0000 (multiplicity 4)  6 O 2.00-2.05
H1 0.0215 0.0534 0.7613 (multiplicity 8)  1 O 0.99
H2 0.2348 0.2500 0.9221 (multiplicity 4)  1 O 0.99
S1 0.1213 0.2500 0.5552 (multiplicity 4)  4 O 1.48-1.49
O1 0.0404 0.7500 0.3492 (multiplicity 4)  1 S 1.48
O2 0.0479 0.5654 0.8077 (multiplicity 8)  1 H 0.99
O3 0.0499 0.2500 0.4173 (multiplicity 4)  1 S 1.49
O4 0.1284 0.2500 0.9877 (multiplicity 4)  1 H 0.99
O5 0.2389 0.0792 0.5776 (multiplicity 8)  1 S 1.49

---

Material: CrSeBr
Method: DFT, PBEsol
State: optimized geometry

Uncorrected energy, eV/cell: -17.73
Mass density, g/cm³: 5.10
E_form (uncorrected), eV per atom: -0.588
Total magnetic moment, μB/f.u.: 3.0
Volume, Å³ per atom: 22.88

Cell: 3.5623 3.5623 6.2458 Å, 90.00 90.00 120.00°
Closest atoms and distances in Å follow each position.
Space group P3m1 (No. 156)
Unique sites:
Cr1 0.0000 0.0000 0.0000 (multiplicity 1)  3 Se 2.45, 3 Br 2.59
Se1 0.3333 0.6667 0.7882 (multiplicity 1)  3 Cr 2.45
Br1 0.6667 0.3333 0.2531 (multiplicity 1)  3 Cr 2.59

---

Material: Na2P2Ir
Method: DFT, PBEsol
State: optimized geometry

Uncorrected energy, eV/cell: -54.14
Mass density, g/cm³: 5.87
Calculated formation energy, eV/atom: -0.57
Total magnetic moment, μB/f.u.: 0.0
Volume, Å³ per atom: 16.98

Cell: 5.9449 5.9449 4.8038 Å, 90.00 90.00 90.00°
Closest atoms and distances in Å follow each position.
Space group P4/mbm (No. 127)
Unique sites:
Na1 0.1847 0.3153 0.0000 (multiplicity 4)  6 P 2.86-3.07, 5 Na 3.07-3.11
P1 0.1315 0.6315 0.5000 (multiplicity 4)  1 P 2.21, 2 Ir 2.33
Ir1 0.0000 0.0000 0.5000 (multiplicity 2)  4 P 2.33

---

Material: CrPI2N
Method: DFT, PBEsol
State: optimized geometry

Uncorrected energy, eV/cell: -25.45
Mass density, g/cm³: 5.70
E_form (uncorrected), eV per atom: 0.528
Total magnetic moment, μB/f.u.: 1.9
Volume, Å³ per atom: 20.44

Cell: 5.3583 5.3583 3.5593 Å, 90.00 90.00 90.00°
Closest atoms and distances in Å follow each position.
Space group P4/mmm (No. 123)
Unique sites:
Cr1 0.0000 0.0000 0.0000 (multiplicity 1)  2 N 1.78
P1 0.5000 0.5000 0.5000 (multiplicity 1)  8 I 3.22, 2 P 3.56
I1 0.0000 0.5000 0.0000 (multiplicity 2)  2 Cr 2.68
N1 0.0000 0.0000 0.5000 (multiplicity 1)  2 Cr 1.78

---

Material: Al3CuF
Method: DFT, PBEsol
State: optimized geometry

Uncorrected energy, eV/cell: -18.62
Mass density, g/cm³: 3.45
E_form (uncorrected), eV per atom: -0.018
Total magnetic moment, μB/f.u.: 0.0
Volume, Å³ per atom: 15.76

Cell: 4.2871 4.2871 4.2871 Å, 90.00 90.00 90.00°
Closest atoms and distances in Å follow each position.
Space group Pm-3m (No. 221)
Unique sites:
Al1 0.0000 0.0000 0.5000 (multiplicity 3)  2 F 2.14
Cu1 0.5000 0.5000 0.5000 (multiplicity 1)  12 Al 3.03
F1 0.0000 0.0000 0.0000 (multiplicity 1)  6 Al 2.14

---

Material: CoHgSb2
Method: DFT, PBEsol
State: optimized geometry

Uncorrected energy, eV/cell: -16.67
Mass density, g/cm³: 10.19
E_form (uncorrected), eV per atom: 0.187
Total magnetic moment, μB/f.u.: 0.5
Volume, Å³ per atom: 20.49

Cell: 3.0901 3.0901 8.5835 Å, 90.00 90.00 90.00°
Closest atoms and distances in Å follow each position.
Space group P4mm (No. 99)
Unique sites:
Co1 0.0000 0.0000 0.0000 (multiplicity 1)  4 Sb 2.61, 4 Hg 2.80
Hg1 0.5000 0.5000 0.2033 (multiplicity 1)  4 Co 2.80, 4 Hg 3.09
Sb1 0.0000 0.0000 0.4964 (multiplicity 1)  4 Sb 3.09, 4 Hg 3.33
Sb2 0.5000 0.5000 0.8343 (multiplicity 1)  4 Co 2.61